VASP calculation (PBE) on a relaxed Zr2ScMn9 crystal.

Cell and atoms, written as POSCAR:
```
Zr2ScMn9
1.0
2.5091 1.4486 7.7871
-2.5091 1.4486 7.7871
0.0000 -2.8973 7.7871
Zr Sc Mn
2 1 9
Cartesian
0.0000 0.0000 3.3211
0.0000 0.0000 20.0402
0.0000 0.0000 0.0000
-1.2650 -0.7303 9.7338
0.0000 0.0000 7.7924
0.0000 -1.4607 13.6275
-1.2650 0.7303 13.6275
0.0000 0.0000 11.6807
1.2650 -0.7303 9.7338
0.0000 1.4607 9.7338
0.0000 0.0000 15.5689
1.2650 0.7303 13.6275
```

Computed properties:
Formation enthalpy at 0 K = -94 meV per atom
E_tot = -8.923 eV per atom
Space-group type = R-3m, No. 166
M_tot = 3.9 μB/cell

VASP calculation (PBE) on a relaxed BaLa2Cd9 crystal.

Cell and atoms, written as POSCAR:
```
BaLa2Cd9
1.0
3.1006 1.7901 9.7190
-3.1006 1.7901 9.7190
0.0000 -3.5803 9.7190
Ba La Cd
1 2 9
Cartesian
0.0000 0.0000 0.0000
0.0000 0.0000 4.2209
0.0000 0.0000 24.9362
-1.5888 -0.9173 12.2009
0.0000 0.0000 9.7888
0.0000 -1.8346 16.9562
-1.5888 0.9173 16.9562
0.0000 0.0000 14.5785
1.5888 -0.9173 12.2009
0.0000 1.8346 12.2009
0.0000 0.0000 19.3683
1.5888 0.9173 16.9562
```

Computed properties:
Formation enthalpy at 0 K = -283 meV per atom
E_tot = -1.951 eV per atom
Space-group type = R-3m, No. 166
M_tot = 0.0 μB/cell

VASP calculation (PBE) on a relaxed Cu2AsAuS4 crystal.

Cell and atoms, written as POSCAR:
```
Cu2AsAuS4
1.0
-2.7560 2.7560 5.2531
2.7560 -2.7560 5.2531
2.7560 2.7560 -5.2531
Cu As Au S
2 1 1 4
Cartesian
2.7560 0.0000 2.6265
0.0000 2.7560 2.6265
0.0000 0.0000 0.0000
0.0000 0.0000 5.2531
1.2874 1.2874 -1.3987
1.4687 -1.4687 6.6518
1.4687 1.4687 3.8544
-1.4687 1.4687 6.6518
```

Computed properties:
E_tot = -4.177 eV per atom
Space-group type = I-42m, No. 121
ΔE_f (raw) = -0.099 eV/atom
M_tot = 0.0 μB/cell

VASP calculation (PBE) on a relaxed TaTiCl crystal.

Cell and atoms, written as POSCAR:
```
TaTiCl
1.0
3.0248 0.0000 0.0000
1.2985 2.7347 0.0000
0.3751 0.0150 14.2708
Ta Ti Cl
2 2 2
Cartesian
0.8616 0.5483 3.4343
3.8369 2.2014 10.8364
1.7260 0.8689 13.1471
2.9724 1.8808 1.1237
1.0012 0.4095 9.0556
3.6972 2.3402 5.2152
```

Computed properties:
E_tot = -7.605 eV per atom
Space-group type = P-1, No. 2
ΔE_f (raw) = -0.407 eV/atom
M_tot = 0.0 μB/cell

Look up the M_tot of the second one. 0.0 μB/cell